(1)
AlTeAsSe2: relaxed, PBE-GGA.

## Properties
E_tot   -3.468 eV per atom
Energy relative to the elements, uncorrected   0.233 eV/atom
Energy above the lowest structure with this stoichiometry   0 meV/atom
SG   P4/mmm
M_tot   0.00 μB per formula unit

Cell: 4.851 4.851 5.007 Å, 90.00 90.00 90.00°
Sites, in units of the cell vectors:
Al 0.000 0.000 0.000
Te 0.500 0.500 0.500
As 0.000 0.000 0.500
Se 0.000 0.500 0.000
Se 0.500 0.000 0.000

---

(2)
RbNb2Ag: relaxed, PBE-GGA.

## Properties
E_tot   -4.355 eV per atom
Energy above the lowest structure with this stoichiometry   224 meV/atom
Calculated formation energy   1.6341 eV/atom
SG   Fm-3m
M_tot   0.00 μB per formula unit

Cell: 6.920 6.920 6.920 Å, 90.00 90.00 90.00°
Sites, in units of the cell vectors:
Rb 0.000 0.000 0.000
Rb 0.000 0.500 0.500
Rb 0.500 0.000 0.500
Rb 0.500 0.500 0.000
Nb 0.250 0.250 0.250
Nb 0.250 0.250 0.750
Nb 0.250 0.750 0.250
Nb 0.250 0.750 0.750
Nb 0.750 0.250 0.250
Nb 0.750 0.250 0.750
Nb 0.750 0.750 0.250
Nb 0.750 0.750 0.750
Ag 0.000 0.000 0.500
Ag 0.000 0.500 0.000
Ag 0.500 0.000 0.000
Ag 0.500 0.500 0.500

---

(3)
PmAl3Ir: relaxed, PBE-GGA.

## Properties
E_tot   -5.610 eV per atom
Energy above the lowest structure with this stoichiometry   105 meV/atom
Calculated formation energy   -0.6419 eV/atom
SG   P4mm
M_tot   0.00 μB per formula unit

Cell: 4.319 4.319 5.309 Å, 90.00 90.00 90.00°
Sites, in units of the cell vectors:
Pm 0.000 0.000 0.000
Al 0.000 0.500 0.482
Al 0.500 0.000 0.482
Al 0.500 0.500 0.790
Ir 0.500 0.500 0.253

---

(4)
Nb2AlCr: relaxed, PBE-GGA.

## Properties
E_tot   -8.449 eV per atom
Calculated formation energy   -0.0727 eV/atom
SG   P4/mmm
M_tot   0.00 μB per formula unit

Cell: 3.198 3.198 6.258 Å, 90.00 90.00 90.00°
Sites, in units of the cell vectors:
Nb 0.000 0.000 0.230
Nb 0.000 0.000 0.770
Al 0.500 0.500 0.500
Cr 0.500 0.500 0.000

---

(5)
Lu2ZrI: relaxed, PBE-GGA.

## Properties
E_tot   -5.026 eV per atom
Energy relative to the elements, uncorrected   -0.241 eV/atom
SG   R-3m
M_tot   0.00 μB per formula unit

Cell: 3.615 3.615 29.659 Å, 90.00 90.00 120.00°
Sites, in units of the cell vectors:
Lu 0.000 0.000 0.250
Lu 0.000 0.000 0.750
Lu 0.333 0.667 0.417
Lu 0.333 0.667 0.917
Lu 0.667 0.333 0.083
Lu 0.667 0.333 0.583
Zr 0.000 0.000 0.000
Zr 0.333 0.667 0.667
Zr 0.667 0.333 0.333
I 0.000 0.000 0.500
I 0.333 0.667 0.167
I 0.667 0.333 0.833

---

(6)
Np3Ge3Pt2: relaxed, PBE-GGA.

## Properties
E_tot   -8.506 eV per atom
Energy above the lowest structure with this stoichiometry   0 meV/atom
Calculated formation energy   -0.4117 eV/atom
SG   Pnma
M_tot   11.42 μB per formula unit

Cell: 8.008 14.454 5.720 Å, 90.00 90.00 90.00°
Sites, in units of the cell vectors:
Np 0.037 0.108 0.115
Np 0.037 0.392 0.115
Np 0.179 0.250 0.620
Np 0.321 0.750 0.120
Np 0.463 0.608 0.615
Np 0.463 0.892 0.615
Np 0.537 0.108 0.385
Np 0.537 0.392 0.385
Np 0.679 0.250 0.880
Np 0.821 0.750 0.380
Np 0.963 0.608 0.885
Np 0.963 0.892 0.885
Ge 0.181 0.750 0.633
Ge 0.193 0.040 0.592
Ge 0.193 0.460 0.592
Ge 0.307 0.540 0.092
Ge 0.307 0.960 0.092
Ge 0.319 0.250 0.133
Ge 0.681 0.750 0.867
Ge 0.693 0.040 0.908
Ge 0.693 0.460 0.908
Ge 0.807 0.540 0.408
Ge 0.807 0.960 0.408
Ge 0.819 0.250 0.367
Pt 0.098 0.610 0.375
Pt 0.098 0.890 0.375
Pt 0.402 0.110 0.875
Pt 0.402 0.390 0.875
Pt 0.598 0.610 0.125
Pt 0.598 0.890 0.125
Pt 0.902 0.110 0.625
Pt 0.902 0.390 0.625

---

(7)
SrYP2: relaxed, PBE-GGA.

## Properties
E_tot   -5.682 eV per atom
Energy above the lowest structure with this stoichiometry   221 meV/atom
Calculated formation energy   -0.9403 eV/atom
SG   P2/m
M_tot   0.00 μB per formula unit

Cell: 3.602 3.686 7.325 Å, 90.00 100.42 90.00°
Sites, in units of the cell vectors:
Sr 0.000 0.000 0.000
Y 0.000 0.000 0.500
P 0.470 0.500 0.725
P 0.530 0.500 0.275

---

(8)
CdTc2Se: relaxed, PBE-GGA.

## Properties
E_tot   -5.864 eV per atom
Energy relative to the elements, uncorrected   0.419 eV/atom
Energy above the lowest structure with this stoichiometry   318 meV/atom
SG   C2/m
M_tot   0.00 μB per formula unit

Cell: 7.690 3.051 6.013 Å, 90.00 101.25 90.00°
Sites, in units of the cell vectors:
Cd 0.000 0.000 0.000
Cd 0.500 0.500 0.000
Tc 0.242 0.000 0.695
Tc 0.258 0.500 0.305
Tc 0.742 0.500 0.695
Tc 0.758 0.000 0.305
Se 0.000 0.500 0.500
Se 0.500 0.000 0.500